{"formula": "SbRuCl", "functional": "PBEsol", "state": "relaxed", "formation_energy_uncorrected_ev_per_fu": 3.69, "crystal_system": "cubic", "space_group": "F-43m (216)", "lattice_angstrom": [[-2.896, 2.739, 1.769], [-3.837, -1.505, 1.422], [-0.827, -0.166, 4.278]], "species": ["Sb", "Cl", "Ru"], "fractional_positions": [[0.500, 0.500, 0.500], [0.750, 0.750, 0.750], [0.000, 0.000, 0.000]]}